Compound: NbAlH3
Source: the Alexandria database
Functional: PBE
Structure: relaxed

The calculation puts the calculated volume at 41.4 Å³ per cell. As for the energy above the most stable polymorph in this dataset: 0.318 eV per atom. Its magnetic moment is 0.0 μB per cell.

Unit cell a=3.4595 b=3.4595 c=3.4595 alpha=90.00 beta=90.00 gamma=90.00
Sites, in units of the cell vectors:
Nb 0.0000 0.0000 0.0000
Al 0.5000 0.5000 0.5000
H 0.0000 0.5000 0.5000
H 0.5000 0.0000 0.5000
H 0.5000 0.5000 0.0000



Compound: Nb4AlH2
Source: the Alexandria database
Functional: PBE
Structure: relaxed

The calculation puts the calculated volume at 190.5 Å³ per cell. For the raw total energy, the calculation gives -7.406 eV/atom. Its magnetic moment is 0.0 μB per cell.

Unit cell a=5.5542 b=5.5638 c=7.3385 alpha=77.83 beta=71.13 gamma=62.92
Sites, in units of the cell vectors:
Nb 0.0000 0.0000 0.0000
Nb 0.0019 0.4273 0.1942
Nb 0.0052 0.6127 0.8024
Nb 0.4793 0.7299 0.5840
Nb 0.4811 0.3259 0.3836
Nb 0.5053 0.9307 0.1924
Nb 0.5191 0.0898 0.7920
Nb 0.9758 0.2454 0.5934
Al 0.5127 0.5023 0.9697
Al 0.9654 0.8218 0.4192
H 0.1156 0.0417 0.2047
H 0.2344 0.0259 0.7469
H 0.3790 0.4311 0.6417
H 0.6182 0.5471 0.1871



Compound: Nb2Al2H
Source: the Alexandria database
Functional: PBE
Structure: relaxed

The calculation puts the calculated volume at 153.7 Å³ per cell. For the raw total energy, the calculation gives -6.166 eV/atom. Its magnetic moment is 0.0 μB per cell.

Unit cell a=5.7582 b=5.7582 c=4.6354 alpha=90.00 beta=90.00 gamma=90.00
Sites, in units of the cell vectors:
Nb 0.1598 0.3402 0.0000
Nb 0.3402 0.8402 0.0000
Nb 0.6598 0.1598 0.0000
Nb 0.8402 0.6598 0.0000
Al 0.1592 0.6592 0.5000
Al 0.3408 0.1592 0.5000
Al 0.6592 0.8408 0.5000
Al 0.8408 0.3408 0.5000
H 0.0000 0.0000 0.0000
H 0.5000 0.5000 0.0000



Compound: Nb6Al3H
Source: the Alexandria database
Functional: PBE
Structure: relaxed

The calculation puts the calculated volume at 168.2 Å³ per cell. For the raw total energy, the calculation gives -7.419 eV/atom. Its magnetic moment is 0.0 μB per cell.

Unit cell a=5.8271 b=5.8271 c=7.6514 alpha=123.37 beta=123.37 gamma=55.81
Sites, in units of the cell vectors:
Nb 0.1535 0.6781 0.7163
Nb 0.2246 0.2246 0.0927
Nb 0.3219 0.8465 0.2837
Nb 0.6781 0.1535 0.7163
Nb 0.7754 0.7754 0.9073
Nb 0.8465 0.3219 0.2837
Al 0.1612 0.1612 0.6896
Al 0.5000 0.5000 0.5000
Al 0.8388 0.8388 0.3104
H 0.0000 0.0000 0.0000